# PBE Re2RhN, relaxed
data_Re2RhN
_cell_length_a 4.6779
_cell_length_b 4.6779
_cell_length_c 11.5537
_cell_angle_alpha 90.00
_cell_angle_beta 90.00
_cell_angle_gamma 90.00
_symmetry_space_group_name_H-M 'I -4 2 d'
_symmetry_Int_Tables_number 122
_symmetry_space_group_name_Hall 'I -4 2bw'
loop_
_atom_site_label
_atom_site_type_symbol
_atom_site_fract_x
_atom_site_fract_y
_atom_site_fract_z
Re1 Re 0.1466 0.2500 0.1250
Rh1 Rh 0.0000 0.0000 0.5000
N1 N 0.0000 0.0000 0.0000
# Volume in Å³/cell: 252.8
# Total energy in eV/atom: -9.47
# DOS(E_F) in states/eV/f.u.: 3.983

# PBE La4Ce2Bi3O2, relaxed
data_La4Ce2Bi3O2
_cell_length_a 4.7661
_cell_length_b 4.7661
_cell_length_c 28.5061
_cell_angle_alpha 90.00
_cell_angle_beta 90.00
_cell_angle_gamma 90.00
_symmetry_space_group_name_H-M 'I 4/m m m'
_symmetry_Int_Tables_number 139
_symmetry_space_group_name_Hall '-I 4 2'
loop_
_atom_site_label
_atom_site_type_symbol
_atom_site_fract_x
_atom_site_fract_y
_atom_site_fract_z
La1 La 0.0000 0.5000 0.1591
Ce1 Ce 0.0000 0.0000 0.0478
Bi1 Bi 0.0000 0.0000 0.2508
Bi2 Bi 0.0000 0.0000 0.5000
O1 O 0.0000 0.0000 0.1259
# Volume in Å³/cell: 647.6
# Total energy in eV/atom: -5.97
# DOS(E_F) in states/eV/f.u.: 17.150